This record from Alexandria via LeMat-Bulk describes a relaxed BaNd2AgSe4 crystal. The functional is PBE.

## Properties
volume = 28.82 Å³/atom
formation energy from raw total energies = -1595.9 meV/atom

Cell: 4.326 7.510 14.822 Å, 90.00 90.00 106.74°
Element x y z (fractional)
Ba 0.125 0.250 0.750
Ba 0.875 0.750 0.250
Nd 0.374 0.749 0.560
Nd 0.626 0.251 0.060
Nd 0.626 0.251 0.440
Nd 0.374 0.749 0.940
Ag 0.851 0.702 0.750
Ag 0.149 0.298 0.250
Se 0.270 0.540 0.113
Se 0.730 0.460 0.613
Se 0.730 0.460 0.887
Se 0.270 0.540 0.387
Se 0.000 0.000 0.500
Se 0.000 0.000 0.000
Se 0.455 0.910 0.750
Se 0.545 0.090 0.250

This record from Alexandria via LeMat-Bulk describes a relaxed Ba2NdAg2Se4 crystal. The functional is PBE.

## Properties
volume = 28.45 Å³/atom
formation energy from raw total energies = -1312.3 meV/atom

Cell: 4.240 8.070 8.420 Å, 112.55 104.59 90.00°
Element x y z (fractional)
Ba 0.135 0.583 0.270
Ba 0.865 0.417 0.730
Nd 0.000 0.000 0.000
Ag 0.687 0.006 0.375
Ag 0.313 0.994 0.625
Se 0.195 0.236 0.390
Se 0.805 0.764 0.610
Se 0.518 0.747 0.036
Se 0.482 0.253 0.964